1.
DFT (PBE) results for crystalline Y3Er6Th2Sc at its relaxed geometry.

Summary:
The value obtained for the uncorrected energy is -5.6342 eV per atom. The volume comes out at 30.720 Å³ per atom. The calculation puts the total moment at 0.00 Bohr magnetons per cell.

a = 6.082 Å, b = 6.082 Å, c = 11.685 Å
α = 94.99°, β = 94.99°, γ = 119.99°
Fractional coordinates of all 12 atoms:
Y 0.000 0.000 0.000
Y 0.334 0.666 0.000
Y 0.666 0.334 0.000
Er 0.085 0.418 0.254
Er 0.248 0.248 0.746
Er 0.418 0.085 0.254
Er 0.582 0.915 0.746
Er 0.752 0.752 0.254
Er 0.915 0.582 0.746
Th 0.167 0.833 0.500
Th 0.833 0.167 0.500
Sc 0.500 0.500 0.500

---

2.
DFT (PBE) results for crystalline Hf5In2Co2 at its relaxed geometry.

Summary:
The value obtained for the uncorrected energy is -7.9542 eV per atom. The volume comes out at 20.419 Å³ per atom. The calculation puts the total moment at 0.00 Bohr magnetons per cell.

a = 8.289 Å, b = 8.289 Å, c = 6.510 Å
α = 90.00°, β = 90.00°, γ = 55.25°
Fractional coordinates of all 18 atoms:
Hf 0.000 0.000 0.000
Hf 0.070 0.710 0.654
Hf 0.210 0.570 0.154
Hf 0.290 0.930 0.654
Hf 0.430 0.790 0.154
Hf 0.500 0.500 0.500
Hf 0.570 0.210 0.846
Hf 0.710 0.070 0.346
Hf 0.790 0.430 0.846
Hf 0.930 0.290 0.346
In 0.219 0.219 0.000
In 0.281 0.281 0.500
In 0.719 0.719 0.500
In 0.781 0.781 0.000
Co 0.121 0.879 0.363
Co 0.379 0.621 0.863
Co 0.621 0.379 0.137
Co 0.879 0.121 0.637

---

3.
DFT (PBE) results for crystalline VCoCuPd at its relaxed geometry.

Summary:
The value obtained for the uncorrected energy is -6.3740 eV per atom. The volume comes out at 12.836 Å³ per atom. The calculation puts the total moment at 3.87 Bohr magnetons per cell.

a = 5.900 Å, b = 5.900 Å, c = 5.900 Å
α = 90.00°, β = 90.00°, γ = 90.00°
Fractional coordinates of all 16 atoms:
V 0.000 0.000 0.000
V 0.000 0.500 0.500
V 0.500 0.000 0.500
V 0.500 0.500 0.000
Co 0.250 0.250 0.250
Co 0.250 0.750 0.750
Co 0.750 0.250 0.750
Co 0.750 0.750 0.250
Cu 0.000 0.000 0.500
Cu 0.000 0.500 0.000
Cu 0.500 0.000 0.000
Cu 0.500 0.500 0.500
Pd 0.250 0.250 0.750
Pd 0.250 0.750 0.250
Pd 0.750 0.250 0.250
Pd 0.750 0.750 0.750

---

4.
DFT (PBE) results for crystalline Li3YAl at its relaxed geometry.

Summary:
Its energy above the most stable polymorph in this dataset is 0.00 kJ per mole of atoms. The volume comes out at 22.049 Å³ per atom. The calculation puts the total moment at 0.25 Bohr magnetons per cell.

a = 4.795 Å, b = 4.795 Å, c = 4.795 Å
α = 90.00°, β = 90.00°, γ = 90.00°
Fractional coordinates of all 5 atoms:
Li 0.000 0.000 0.500
Li 0.000 0.500 0.000
Li 0.500 0.000 0.000
Y 0.500 0.500 0.500
Al 0.000 0.000 0.000

---

The highest volume belongs to which entry?
Y3Er6Th2Sc

---

What is the total moment in the first record?
0.00 Bohr magnetons per cell

---

What is the total moment in the first record?
0.00 Bohr magnetons per cell